1.
VASP calculation (PBE with a Hubbard U) on a relaxed structure of ZrCo2SbF.

Output
E: -4.27 eV per atom
SG: P4/mmm, No. 123
total magnetization: 3.755 μB/f.u.
density of states at the Fermi level: 8.05 states/eV/f.u.

```
ZrCo2SbF
1.0
4.748 0.000 0.000
0.000 4.748 0.000
0.000 0.000 5.577
Zr Co Sb F
1 2 1 1
Direct
0.000 0.000 0.000
0.000 0.500 0.500
0.500 0.000 0.500
0.000 0.000 0.500
0.500 0.500 0.000
```

2.
VASP calculation (PBE with a Hubbard U) on a relaxed structure of ScCoF2.

Output
offset from the most stable computed form: 172 meV per atom
SG: I-42d, No. 122
total magnetization: 2.000 μB/f.u.
density of states at the Fermi level: 0.31 states/eV/f.u.

```
ScCoF2
1.0
3.966 0.000 0.000
0.000 3.966 0.000
0.000 0.000 14.273
Sc Co F
4 4 8
Direct
0.000 0.000 0.000
0.000 0.500 0.250
0.500 0.000 0.750
0.500 0.500 0.500
0.000 0.000 0.500
0.000 0.500 0.750
0.500 0.000 0.250
0.500 0.500 0.000
0.200 0.250 0.125
0.250 0.700 0.375
0.250 0.800 0.875
0.300 0.250 0.625
0.700 0.750 0.625
0.750 0.200 0.875
0.750 0.300 0.375
0.800 0.750 0.125
```

3.
VASP calculation (PBE with a Hubbard U) on a relaxed structure of ScCoF2.

Output
offset from the most stable computed form: 548 meV per atom
SG: Fm-3m, No. 225
total magnetization: 1.995 μB/f.u.
density of states at the Fermi level: 5.80 states/eV/f.u.

```
ScCoF2
1.0
5.930 0.000 0.000
0.000 5.930 0.000
0.000 0.000 5.930
Sc Co F
4 4 8
Direct
0.000 0.000 0.000
0.000 0.500 0.500
0.500 0.000 0.500
0.500 0.500 0.000
0.000 0.000 0.500
0.000 0.500 0.000
0.500 0.000 0.000
0.500 0.500 0.500
0.250 0.250 0.250
0.250 0.250 0.750
0.250 0.750 0.250
0.250 0.750 0.750
0.750 0.250 0.250
0.750 0.250 0.750
0.750 0.750 0.250
0.750 0.750 0.750
```

4.
VASP calculation (PBE with a Hubbard U) on a relaxed structure of ScCoF2.

Output
offset from the most stable computed form: 104 meV per atom
SG: R-3m, No. 166
total magnetization: 2.000 μB/f.u.
density of states at the Fermi level: 0.33 states/eV/f.u.

```
ScCoF2
1.0
3.504 0.000 0.000
-1.752 3.034 0.000
0.000 0.000 17.407
Sc Co F
3 3 6
Direct
0.000 0.000 0.000
0.333 0.667 0.667
0.667 0.333 0.333
0.000 0.000 0.500
0.333 0.667 0.167
0.667 0.333 0.833
0.000 0.000 0.117
0.000 0.000 0.883
0.333 0.667 0.550
0.333 0.667 0.784
0.667 0.333 0.216
0.667 0.333 0.450
```

5.
VASP calculation (PBE with a Hubbard U) on a relaxed structure of ScCo3F.

Output
offset from the most stable computed form: 1249 meV per atom
SG: Pm-3m, No. 221
total magnetization: 3.610 μB/f.u.
density of states at the Fermi level: 4.00 states/eV/f.u.

```
ScCo3F
1.0
4.546 0.000 0.000
0.000 4.546 0.000
0.000 0.000 4.546
Sc Co F
1 3 1
Direct
0.000 0.000 0.000
0.000 0.000 0.500
0.000 0.500 0.000
0.500 0.000 0.000
0.500 0.500 0.500
```

6.
VASP calculation (PBE with a Hubbard U) on a relaxed structure of ScCoF2.

Output
offset from the most stable computed form: 0 meV per atom
SG: R-3m, No. 166
total magnetization: 2.413 μB/f.u.
density of states at the Fermi level: 3.49 states/eV/f.u.

```
ScCoF2
1.0
2.977 0.000 0.000
-1.488 2.578 0.000
0.000 0.000 25.532
Sc Co F
3 3 6
Direct
0.000 0.000 0.000
0.333 0.667 0.667
0.667 0.333 0.333
0.000 0.000 0.500
0.333 0.667 0.167
0.667 0.333 0.833
0.000 0.000 0.384
0.000 0.000 0.616
0.333 0.667 0.051
0.333 0.667 0.283
0.667 0.333 0.717
0.667 0.333 0.949
```

7.
VASP calculation (PBE with a Hubbard U) on a relaxed structure of ScCo3F.

Output
offset from the most stable computed form: 0 meV per atom
SG: Pm-3m, No. 221
total magnetization: 4.577 μB/f.u.
density of states at the Fermi level: 1.48 states/eV/f.u.

```
ScCo3F
1.0
4.194 0.000 0.000
0.000 4.194 0.000
0.000 0.000 4.194
Sc Co F
1 3 1
Direct
0.000 0.000 0.000
0.000 0.500 0.500
0.500 0.000 0.500
0.500 0.500 0.000
0.500 0.500 0.500
```

8.
VASP calculation (PBE with a Hubbard U) on a relaxed structure of Sc2CoTeF.

Output
E: -5.14 eV per atom
SG: P4/mmm, No. 123
total magnetization: 0.166 μB/f.u.
density of states at the Fermi level: 5.33 states/eV/f.u.

```
Sc2CoTeF
1.0
4.736 0.000 0.000
0.000 4.736 0.000
0.000 0.000 3.817
Sc Co Te F
2 1 1 1
Direct
0.000 0.500 0.000
0.500 0.000 0.000
0.000 0.000 0.500
0.500 0.500 0.500
0.000 0.000 0.000
```

9.
VASP calculation (PBE with a Hubbard U) on a relaxed structure of ScTl2Co3F12.

Output
E: -5.15 eV per atom
SG: R-3m, No. 166
total magnetization: 10.000 μB/f.u.
density of states at the Fermi level: 10.52 states/eV/f.u.

```
ScTl2Co3F12
1.0
3.687 2.129 6.221
-3.687 2.129 6.221
0.000 -4.258 6.221
Sc Tl Co F
1 2 3 12
Direct
0.000 0.000 0.000
0.397 0.397 0.397
0.603 0.603 0.603
0.000 0.000 0.500
0.000 0.500 0.000
0.500 0.000 0.000
0.069 0.069 0.677
0.069 0.677 0.069
0.080 0.677 0.677
0.323 0.323 0.920
0.323 0.920 0.323
0.323 0.931 0.931
0.677 0.069 0.069
0.677 0.080 0.677
0.677 0.677 0.080
0.920 0.323 0.323
0.931 0.323 0.931
0.931 0.931 0.323
```

10.
VASP calculation (PBE with a Hubbard U) on a relaxed structure of ScTlCoF6.

Output
E: -5.66 eV per atom
SG: Imma, No. 74
total magnetization: 3.000 μB/f.u.
density of states at the Fermi level: 0.00 states/eV/f.u.

```
ScTlCoF6
1.0
-3.733 3.868 5.433
3.733 -3.868 5.433
3.733 3.868 -5.433
Sc Tl Co F
2 2 2 12
Direct
0.000 0.000 0.000
0.500 0.000 0.500
0.309 0.559 0.750
0.691 0.441 0.250
0.000 0.000 0.500
0.000 0.500 0.000
0.056 0.317 0.136
0.056 0.921 0.740
0.070 0.320 0.750
0.316 0.066 0.250
0.319 0.079 0.636
0.319 0.683 0.240
0.681 0.317 0.760
0.681 0.921 0.364
0.684 0.934 0.750
0.930 0.680 0.250
0.944 0.079 0.260
0.944 0.683 0.864
```

11.
VASP calculation (PBE with a Hubbard U) on a relaxed structure of ScTlCoF2.

Output
E: -4.16 eV per atom
SG: P4/mmm, No. 123
total magnetization: 0.000 μB/f.u.
density of states at the Fermi level: 5.36 states/eV/f.u.

```
ScTlCoF2
1.0
4.062 0.000 0.000
0.000 4.062 0.000
0.000 0.000 5.277
Sc Tl Co F
1 1 1 2
Direct
0.000 0.000 0.000
0.500 0.500 0.000
0.000 0.000 0.500
0.000 0.500 0.500
0.500 0.000 0.500
```

12.
VASP calculation (PBE with a Hubbard U) on a relaxed structure of CoSe2F.

Output
offset from the most stable computed form: 654 meV per atom
SG: R-3m, No. 166
total magnetization: 1.757 μB/f.u.
density of states at the Fermi level: 3.39 states/eV/f.u.

```
CoSe2F
1.0
2.893 0.000 0.000
-1.446 2.505 0.000
0.000 0.000 26.264
Co Se F
3 6 3
Direct
0.000 0.000 0.000
0.333 0.667 0.667
0.667 0.333 0.333
0.000 0.000 0.089
0.000 0.000 0.911
0.333 0.667 0.578
0.333 0.667 0.756
0.667 0.333 0.244
0.667 0.333 0.422
0.000 0.000 0.500
0.333 0.667 0.167
0.667 0.333 0.833
```